# 1
# LaAuSeO (GGA-PBE, relaxed)
data_LaAuSeO
_chemical_formula_sum 'La2 Au2 Se2 O2'
_symmetry_space_group_name_H-M 'P m c 21'
_symmetry_Int_Tables_number 26
_symmetry_space_group_name_Hall 'P 2c -2'
_cell_length_a 4.357
_cell_length_b 5.773
_cell_length_c 6.933
_cell_angle_alpha 90.00
_cell_angle_beta 90.00
_cell_angle_gamma 90.00
loop_
_atom_site_label
_atom_site_type_symbol
_atom_site_fract_x
_atom_site_fract_y
_atom_site_fract_z
La1 La 0.000 0.242 0.000
Au1 Au 0.500 0.175 0.615
Se1 Se 0.500 0.403 0.301
O1 O 0.000 0.048 0.717
# Uncorrected energy in eV/cell: -45.5
# Crystal system: orthorhombic

***

# 2
# LaAuSeO (GGA-PBE, relaxed)
data_LaAuSeO
_chemical_formula_sum 'La4 Au4 Se4 O4'
_symmetry_space_group_name_H-M 'P 1 c 1'
_symmetry_Int_Tables_number 7
_symmetry_space_group_name_Hall 'P -2yc'
_cell_length_a 6.188
_cell_length_b 7.686
_cell_length_c 7.625
_cell_angle_alpha 90.00
_cell_angle_beta 102.31
_cell_angle_gamma 90.00
loop_
_atom_site_label
_atom_site_type_symbol
_atom_site_fract_x
_atom_site_fract_y
_atom_site_fract_z
La1 La 0.000 0.131 0.000
La2 La 0.147 0.369 0.414
Au1 Au 0.555 0.440 0.199
Au2 Au 0.596 0.060 0.215
Se1 Se 0.486 0.308 0.891
Se2 Se 0.664 0.192 0.523
O1 O 0.042 0.417 0.112
O2 O 0.105 0.084 0.302
# Uncorrected energy in eV/cell: -94.2
# Crystal system: monoclinic

***

# 3
# LaAuSeO (GGA-PBE, relaxed)
data_LaAuSeO
_chemical_formula_sum 'La8 Au8 Se8 O8'
_symmetry_space_group_name_H-M 'A e a 2'
_symmetry_Int_Tables_number 41
_symmetry_space_group_name_Hall 'A 2 -2ab'
_cell_length_a 19.112
_cell_length_b 5.896
_cell_length_c 5.911
_cell_angle_alpha 90.00
_cell_angle_beta 90.00
_cell_angle_gamma 90.00
loop_
_atom_site_label
_atom_site_type_symbol
_atom_site_fract_x
_atom_site_fract_y
_atom_site_fract_z
La1 La 0.063 0.250 0.000
Au1 Au 0.250 0.002 0.003
Se1 Se 0.143 0.251 0.501
O1 O 0.000 0.000 0.250
O2 O 0.000 0.000 0.750
# Uncorrected energy in eV/cell: -196.3
# Crystal system: orthorhombic

***

# 4
# LaAuSeO (GGA-PBE, relaxed)
data_LaAuSeO
_chemical_formula_sum 'La4 Au4 Se4 O4'
_symmetry_space_group_name_H-M 'P c c a'
_symmetry_Int_Tables_number 54
_symmetry_space_group_name_Hall '-P 2a 2ac'
_cell_length_a 5.877
_cell_length_b 9.560
_cell_length_c 5.890
_cell_angle_alpha 90.00
_cell_angle_beta 90.00
_cell_angle_gamma 90.00
loop_
_atom_site_label
_atom_site_type_symbol
_atom_site_fract_x
_atom_site_fract_y
_atom_site_fract_z
La1 La 0.000 0.125 0.250
Au1 Au 0.250 0.500 0.247
Se1 Se 0.000 0.287 0.750
O1 O 0.250 0.000 0.003
# Uncorrected energy in eV/cell: -98.1
# Crystal system: orthorhombic

***

# 5
# LaAuSeO (GGA-PBE, relaxed)
data_LaAuSeO
_chemical_formula_sum 'La4 Au4 Se4 O4'
_symmetry_space_group_name_H-M 'P 1 21 1'
_symmetry_Int_Tables_number 4
_symmetry_space_group_name_Hall 'P 2yb'
_cell_length_a 5.957
_cell_length_b 5.955
_cell_length_c 11.586
_cell_angle_alpha 90.00
_cell_angle_beta 92.54
_cell_angle_gamma 90.00
loop_
_atom_site_label
_atom_site_type_symbol
_atom_site_fract_x
_atom_site_fract_y
_atom_site_fract_z
La1 La 0.008 0.000 0.100
La2 La 0.492 0.000 0.899
Au1 Au 0.003 0.025 0.722
Au2 Au 0.312 0.278 0.504
Se1 Se 0.291 0.234 0.295
Se2 Se 0.298 0.319 0.712
O1 O 0.249 0.249 0.001
O2 O 0.251 0.749 0.000
# Uncorrected energy in eV/cell: -97.2
# Crystal system: monoclinic

***

# 6
# La2SmAuO6 (GGA-PBE, relaxed)
data_La2SmAuO6
_chemical_formula_sum 'La2 Sm1 Au1 O6'
_symmetry_space_group_name_H-M 'P -1'
_symmetry_Int_Tables_number 2
_symmetry_space_group_name_Hall '-P 1'
_cell_length_a 3.777
_cell_length_b 5.702
_cell_length_c 7.211
_cell_angle_alpha 90.41
_cell_angle_beta 102.93
_cell_angle_gamma 90.89
loop_
_atom_site_label
_atom_site_type_symbol
_atom_site_fract_x
_atom_site_fract_y
_atom_site_fract_z
La1 La 0.107 0.026 0.266
Sm1 Sm 0.500 0.500 0.000
Au1 Au 0.500 0.500 0.500
O1 O 0.015 0.751 0.021
O2 O 0.342 0.205 0.618
O3 O 0.372 0.700 0.707
# Uncorrected energy in eV/cell: -74.1
# Crystal system: triclinic

***

# 7
# LaSnAuO3 (GGA-PBE, relaxed)
data_LaSnAuO3
_chemical_formula_sum 'La4 Sn4 Au4 O12'
_symmetry_space_group_name_H-M 'C m c m'
_symmetry_Int_Tables_number 63
_symmetry_space_group_name_Hall '-C 2c 2'
_cell_length_a 3.787
_cell_length_b 13.158
_cell_length_c 8.351
_cell_angle_alpha 90.00
_cell_angle_beta 90.00
_cell_angle_gamma 90.00
loop_
_atom_site_label
_atom_site_type_symbol
_atom_site_fract_x
_atom_site_fract_y
_atom_site_fract_z
La1 La 0.000 0.000 0.000
Sn1 Sn 0.000 0.316 0.250
Au1 Au 0.000 0.360 0.750
O1 O 0.000 0.094 0.750
O2 O 0.000 0.383 0.503
# Uncorrected energy in eV/cell: -151.6
# Crystal system: orthorhombic

***

# 8
# SrLaAuO3 (GGA-PBE, relaxed)
data_SrLaAuO3
_chemical_formula_sum 'Sr4 La4 Au4 O12'
_symmetry_space_group_name_H-M 'C m c m'
_symmetry_Int_Tables_number 63
_symmetry_space_group_name_Hall '-C 2c 2'
_cell_length_a 3.926
_cell_length_b 13.220
_cell_length_c 8.702
_cell_angle_alpha 90.00
_cell_angle_beta 90.00
_cell_angle_gamma 90.00
loop_
_atom_site_label
_atom_site_type_symbol
_atom_site_fract_x
_atom_site_fract_y
_atom_site_fract_z
Sr1 Sr 0.000 0.180 0.250
La1 La 0.000 0.500 0.000
Au1 Au 0.000 0.124 0.750
O1 O 0.000 0.118 0.519
O2 O 0.000 0.427 0.750
# Uncorrected energy in eV/cell: -155.1
# Crystal system: orthorhombic

***

# 9
# LaSi2OsAu (GGA-PBE, relaxed)
data_LaSi2OsAu
_chemical_formula_sum 'La2 Si4 Os2 Au2'
_symmetry_space_group_name_H-M 'I -4 m 2'
_symmetry_Int_Tables_number 119
_symmetry_space_group_name_Hall 'I -4 -2'
_cell_length_a 4.179
_cell_length_b 4.179
_cell_length_c 10.527
_cell_angle_alpha 90.00
_cell_angle_beta 90.00
_cell_angle_gamma 90.00
loop_
_atom_site_label
_atom_site_type_symbol
_atom_site_fract_x
_atom_site_fract_y
_atom_site_fract_z
La1 La 0.000 0.000 0.000
Si1 Si 0.000 0.000 0.382
Os1 Os 0.000 0.500 0.750
Au1 Au 0.000 0.500 0.250
# Uncorrected energy in eV/cell: -65.8
# Crystal system: tetragonal

***

# 10
# LaPdPb2Au (GGA-PBE, relaxed)
data_LaPdPb2Au
_chemical_formula_sum 'La2 Pd2 Pb4 Au2'
_symmetry_space_group_name_H-M 'P 1 21/m 1'
_symmetry_Int_Tables_number 11
_symmetry_space_group_name_Hall '-P 2yb'
_cell_length_a 4.854
_cell_length_b 4.777
_cell_length_c 11.082
_cell_angle_alpha 90.00
_cell_angle_beta 90.25
_cell_angle_gamma 90.00
loop_
_atom_site_label
_atom_site_type_symbol
_atom_site_fract_x
_atom_site_fract_y
_atom_site_fract_z
La1 La 0.220 0.250 0.242
Pd1 Pd 0.233 0.250 0.627
Pb1 Pb 0.261 0.750 0.498
Pb2 Pb 0.320 0.250 0.864
Au1 Au 0.185 0.750 0.997
# Uncorrected energy in eV/cell: -46.4
# Crystal system: monoclinic

***

# 11
# LaPrPb2Au4 (GGA-PBE, relaxed)
data_LaPrPb2Au4
_chemical_formula_sum 'La1 Pr1 Pb2 Au4'
_symmetry_space_group_name_H-M 'P -6 m 2'
_symmetry_Int_Tables_number 187
_symmetry_space_group_name_Hall 'P -6 2'
_cell_length_a 4.9126
_cell_length_b 4.9126
_cell_length_c 9.5915
_cell_angle_alpha 90.00
_cell_angle_beta 90.00
_cell_angle_gamma 120.00
loop_
_atom_site_label
_atom_site_type_symbol
_atom_site_fract_x
_atom_site_fract_y
_atom_site_fract_z
La1 La 0.0000 0.0000 0.0000
Pr1 Pr 0.3333 0.6667 0.5000
Pb1 Pb 0.6667 0.3333 0.2508
Au1 Au 0.0000 0.0000 0.3513
Au2 Au 0.3333 0.6667 0.1500
# Uncorrected energy in eV/cell: -35.1
# Crystal system: hexagonal

***

# 12
# LaPbAuS3 (GGA-PBE, relaxed)
data_LaPbAuS3
_chemical_formula_sum 'La2 Pb2 Au2 S6'
_symmetry_space_group_name_H-M 'P 1 21/m 1'
_symmetry_Int_Tables_number 11
_symmetry_space_group_name_Hall '-P 2yb'
_cell_length_a 7.674
_cell_length_b 4.146
_cell_length_c 9.938
_cell_angle_alpha 90.00
_cell_angle_beta 104.07
_cell_angle_gamma 90.00
loop_
_atom_site_label
_atom_site_type_symbol
_atom_site_fract_x
_atom_site_fract_y
_atom_site_fract_z
La1 La 0.207 0.250 0.159
Pb1 Pb 0.226 0.750 0.698
Au1 Au 0.367 0.750 0.423
S1 S 0.066 0.250 0.863
S2 S 0.191 0.250 0.453
S3 S 0.473 0.750 0.197
# Uncorrected energy in eV/cell: -60.7
# Energy relative to the lowest polymorph listed for this composition in meV/atom: 12
# Crystal system: monoclinic